No. 1
{"formula": "KNi", "functional": "PBE", "state": "optimized geometry", "delta_e_f_ev_per_atom": 0.588, "cell": [[5.564, 0.000, 0.000], [-2.782, 4.818, 0.000], [0.000, 0.000, 4.440]], "species": ["K", "K", "Ni", "Ni"], "frac_coords": [[0.667, 0.333, 0.316], [0.333, 0.667, 0.816], [0.000, 0.000, 0.557], [0.000, 0.000, 0.057]]}

No. 2
{"formula": "PrNbAl2", "functional": "PBE", "state": "optimized geometry", "delta_e_f_ev_per_atom": -0.203, "cell": [[-0.852, -2.515, 2.389], [-0.264, -2.406, -2.627], [6.453, -1.498, 0.724]], "species": ["Pr", "Al", "Al", "Nb"], "frac_coords": [[0.500, 0.500, 0.500], [0.000, 0.000, 0.192], [0.000, 0.000, 0.808], [0.500, 0.500, 0.000]]}

No. 3
{"formula": "TiP2ClO", "functional": "PBE", "state": "optimized geometry", "raw_formation_energy_ev_per_atom": -0.303, "cell": [[-1.014, 4.778, 0.633], [-3.341, -0.231, -3.611], [-2.639, -0.891, 2.499]], "species": ["P", "P", "Cl", "Ti", "O"], "frac_coords": [[0.500, 0.000, 0.000], [0.000, 0.500, 0.000], [0.500, 0.500, 0.500], [0.000, 0.000, 0.000], [0.000, 0.000, 0.500]]}

no.,energy relative to the lowest polymorph listed for this composition (meV per atom)
1,75
2,0
3,0